# InOsI2

Crystalline InOsI2 at its relaxed geometry (PBE, the Alexandria database).

Properties
E above lowest polymorph ... 0.00 eV per formula unit

Lattice parameters (Å, degrees): 9.562 9.562 5.368 90.00 90.00 90.00
Space group I-42d (No. 122)
One atom of each set of equivalent atoms:
In (0.000, 0.000, 0.000) (multiplicity 4)
Os (0.000, 0.000, 0.500) (multiplicity 4)
I (0.114, 0.250, 0.625) (multiplicity 8)

***

# ZnTe2Os

Crystalline ZnTe2Os at its relaxed geometry (PBE, the Alexandria database).

Lattice parameters (Å, degrees): 4.214 4.272 5.750 90.00 90.13 90.00
Space group Pm (No. 6)
One atom of each set of equivalent atoms:
Zn (0.000, 0.000, 0.000) (multiplicity 1)
Te (0.491, 0.500, 0.004) (multiplicity 1)
Te (0.986, 0.000, 0.528) (multiplicity 1)
Os (0.991, 0.500, 0.272) (multiplicity 1)

***

# NbSI2

Crystalline NbSI2 at its relaxed geometry (PBE, the Alexandria database).

Properties
E above lowest polymorph ... 4.37 eV per formula unit

Lattice parameters (Å, degrees): 7.154 7.154 7.154 90.00 90.00 90.00
Space group Fm-3m (No. 225)
One atom of each set of equivalent atoms:
Nb (0.000, 0.000, 0.000) (multiplicity 4)
S (0.000, 0.000, 0.500) (multiplicity 4)
I (0.250, 0.250, 0.250) (multiplicity 8)

***

# Ca2Ag3RuO6

Crystalline Ca2Ag3RuO6 at its relaxed geometry (PBE, the Alexandria database).

Lattice parameters (Å, degrees): 5.815 10.133 6.611 90.00 107.41 90.00
Space group C2/m (No. 12)
One atom of each set of equivalent atoms:
Ca (0.000, 0.167, 0.000) (multiplicity 4)
Ag (0.000, 0.000, 0.500) (multiplicity 2)
Ag (0.000, 0.353, 0.500) (multiplicity 4)
Ru (0.000, 0.500, 0.000) (multiplicity 2)
O (0.086, 0.356, 0.830) (multiplicity 8)
O (0.153, 0.000, 0.829) (multiplicity 4)

***

# Tl12S5Cl3

Crystalline Tl12S5Cl3 at its relaxed geometry (PBE, the Alexandria database).

Lattice parameters (Å, degrees): 18.066 18.066 18.066 90.00 90.00 90.00
Space group Ia-3d (No. 230)
One atom of each set of equivalent atoms:
Tl (0.017, 0.065, 0.655) (multiplicity 96)
S (0.000, 0.000, 0.000) (multiplicity 16)
S (0.000, 0.250, 0.375) (multiplicity 24)
Cl (0.000, 0.250, 0.125) (multiplicity 24)

***

# Pa6PtS12

Crystalline Pa6PtS12 at its relaxed geometry (PBE, the Alexandria database).

Lattice parameters (Å, degrees): 12.5571 12.5571 10.0402 90.00 90.00 120.00
Space group R-3m (No. 166, hexagonal axes)
One atom of each set of equivalent atoms:
Pa (0.0545, 0.5272, 0.2826) (multiplicity 18)
Pt (0.0000, 0.0000, 0.0000) (multiplicity 3)
S (0.0000, 0.3701, 0.5000) (multiplicity 18)
S (0.0887, 0.1774, 0.3652) (multiplicity 18)

***

Number 1: formation energy (no corrections) 0.4134 eV per atom. Number 2: formation energy (no corrections) 0.2531 eV per atom. Number 3: formation energy (no corrections) 0.5718 eV per atom. Number 4: formation energy (no corrections) -1.3524 eV per atom. Number 5: formation energy (no corrections) -0.4010 eV per atom. Number 6: formation energy (no corrections) -1.2822 eV per atom.